First-principles (PBE-GGA) data for a geometry-optimized LiYAs3 structure, as listed in Alexandria.

Geometry as POSCAR:
```
LiYAs3
1.0
4.664 0.000 0.000
0.000 4.664 0.000
0.000 0.000 4.664
Y As Li
1 3 1
Direct
0.500 0.500 0.500
0.000 0.500 0.000
0.000 0.000 0.500
0.500 0.000 0.000
0.000 0.000 0.000
```

Output
relative energy among the computed polymorphs: 0.000 eV/atom
density of states at the Fermi level: 0.53 states/eV/atom
E_tot: -4.690 eV per atom
ΔH_f (0 K): -0.22 eV/atom